Entry from Alexandria: a geometry-optimized InOsBr2 structure (PBE).

Unit cell a=9.804 b=9.804 c=9.804 alpha=22.15 beta=22.15 gamma=22.15
Sites, in units of the cell vectors:
Br1 0.879 0.879 0.879
Br2 0.121 0.121 0.121
In1 0.000 0.000 0.000
Os1 0.500 0.500 0.500

Results
**Raw formation energy**: 0.47 eV per atom
**Excess energy over the best structure of this formula in the dataset**: 0.2856 eV/atom
**Volume**: 29.37 Å³/atom
**Final energy**: -3.86 eV per atom
**Magnetization**: 0.00 μB per cell